No. 1
CdSb2TePt at its PBEsol-relaxed geometry. Source: Alexandria, functional SCAN.

```
CdSb2TePt
1.0
5.152 0.000 0.000
0.000 5.152 0.000
0.000 0.000 5.456
Sb Te Pt Cd
2 1 1 1
Direct
0.000 0.500 0.000
0.500 0.000 0.000
0.000 0.000 0.500
0.000 0.000 0.000
0.500 0.500 0.500
```

electronic total energy = -1.54785 Ha/atom
V = 144.8 Å³/cell
energy relative to the elements, uncorrected = 0.3568 eV/atom

---

No. 2
CaNiW2 at its PBEsol-relaxed geometry. Source: Alexandria, functional SCAN.

```
CaNiW2
1.0
-2.677 0.796 1.365
0.642 -3.599 3.358
3.181 4.216 0.241
Ca Ni W
1 1 2
Direct
0.511 0.511 0.021
0.273 0.773 0.547
0.995 0.995 0.990
0.721 0.221 0.442
```

relative energy among the computed polymorphs = 0.3425 eV/atom
calculated formation energy = 0.8344 eV/atom
electronic total energy = -1.48720 Ha/atom
V = 67.9 Å³/cell

---

No. 3
Sr2LiGaCo at its PBEsol-relaxed geometry. Source: Alexandria, functional SCAN.

```
Sr2LiGaCo
1.0
-0.192 -3.819 2.676
1.203 -3.371 -4.724
5.798 0.495 1.123
Sr Co Ga Li
2 1 1 1
Direct
0.000 0.000 0.500
0.000 0.500 0.000
0.500 0.500 0.500
0.000 0.000 0.000
0.500 0.000 0.000
```

calculated formation energy = 0.3673 eV/atom
electronic total energy = -0.57883 Ha/atom
V = 163.9 Å³/cell

---

No. 4
Cd5Pt3 at its PBEsol-relaxed geometry. Source: Alexandria, functional SCAN.

```
Cd5Pt3
1.0
4.172 0.000 0.000
0.000 5.764 0.019
0.000 -0.204 5.761
Cd Pt
5 3
Direct
0.000 0.000 0.000
0.000 0.500 0.000
0.000 0.000 0.500
0.500 0.732 0.732
0.500 0.268 0.268
0.000 0.500 0.500
0.500 0.760 0.240
0.500 0.240 0.760
```

relative energy among the computed polymorphs = 0.0162 eV/atom
calculated formation energy = -0.2731 eV/atom
electronic total energy = -1.67594 Ha/atom
V = 138.6 Å³/cell

---

No. 5
Ag2Te4MoO12 at its PBEsol-relaxed geometry. Source: Alexandria, functional SCAN.

```
Ag2Te4MoO12
1.0
-2.321 2.836 -4.289
-6.692 -2.101 5.943
4.669 9.644 3.849
Ag Te Mo O
4 8 2 24
Direct
0.052 0.568 0.227
0.484 0.432 0.273
0.948 0.432 0.773
0.516 0.568 0.727
0.969 0.310 0.435
0.659 0.690 0.065
0.031 0.690 0.565
0.341 0.310 0.935
0.375 0.180 0.594
0.195 0.820 0.906
0.625 0.820 0.406
0.805 0.180 0.094
0.827 0.000 0.750
0.173 0.000 0.250
0.126 0.016 0.631
0.110 0.984 0.869
0.874 0.984 0.369
0.890 0.016 0.131
0.217 0.219 0.335
0.998 0.781 0.165
0.783 0.781 0.665
0.002 0.219 0.835
0.190 0.515 0.435
0.675 0.485 0.065
0.810 0.485 0.565
0.325 0.515 0.935
0.649 0.037 0.641
0.612 0.963 0.859
0.351 0.963 0.359
0.388 0.037 0.141
0.162 0.315 0.589
0.847 0.685 0.911
0.838 0.685 0.411
0.153 0.315 0.089
0.508 0.314 0.756
0.194 0.686 0.744
0.492 0.686 0.244
0.806 0.314 0.256
```

electronic total energy = -0.66486 Ha/atom
V = 538.3 Å³/cell
energy relative to the elements, uncorrected = -1.1760 eV/atom

---

No. 6
YPtAu4 at its PBEsol-relaxed geometry. Source: Alexandria, functional SCAN.

```
YPtAu4
1.0
5.385 0.000 0.000
2.692 4.663 0.000
2.692 1.554 4.397
Au Pt Y
4 1 1
Direct
0.375 0.375 0.375
0.375 0.375 0.874
0.874 0.375 0.375
0.375 0.874 0.375
0.750 0.750 0.750
0.000 0.000 0.000
```

calculated formation energy = -0.5085 eV/atom
electronic total energy = -2.31346 Ha/atom
V = 110.4 Å³/cell

---

No. 7
Ni5Rh at its PBEsol-relaxed geometry. Source: Alexandria, functional SCAN.

```
Ni5Rh
1.0
-1.983 -1.386 -0.753
1.188 -1.713 4.286
-3.602 4.542 1.121
Ni Rh
5 1
Direct
0.999 0.998 0.005
0.390 0.780 0.282
0.668 0.336 0.339
0.053 0.107 0.604
0.336 0.672 0.663
0.720 0.440 0.941
```

calculated formation energy = 0.0588 eV/atom
electronic total energy = -0.69998 Ha/atom
V = 66.2 Å³/cell

---

No. 8
La2Ge5Rh3 at its PBEsol-relaxed geometry. Source: Alexandria, functional SCAN.

```
La2Ge5Rh3
1.0
-3.158 0.626 5.062
-2.947 -7.440 2.637
4.631 -2.133 6.708
La Ge Rh
4 10 6
Direct
0.133 0.636 0.099
0.867 0.364 0.901
0.367 0.901 0.364
0.633 0.099 0.636
0.250 0.000 0.000
0.750 0.000 0.000
0.974 0.276 0.276
0.526 0.724 0.724
0.026 0.724 0.724
0.474 0.276 0.276
0.400 0.442 0.758
0.900 0.758 0.442
0.100 0.242 0.558
0.600 0.558 0.242
0.860 0.033 0.248
0.750 0.500 0.500
0.360 0.248 0.033
0.640 0.752 0.967
0.140 0.967 0.752
0.250 0.500 0.500
```

calculated formation energy = -0.9864 eV/atom
electronic total energy = -1.07612 Ha/atom
V = 366.2 Å³/cell

---

No. 9
ZrCoRe3 at its PBEsol-relaxed geometry. Source: Alexandria, functional SCAN.

```
ZrCoRe3
1.0
-2.664 -0.690 3.742
-3.590 -1.057 -2.751
1.261 -4.470 0.073
Re Co Zr
3 1 1
Direct
0.000 0.500 0.000
0.000 0.000 0.500
0.500 0.000 0.000
0.500 0.500 0.500
0.000 0.000 0.000
```

calculated formation energy = 2.9421 eV/atom
electronic total energy = -1.81237 Ha/atom
V = 100.2 Å³/cell

---

No. 10
ZrAs2Se at its PBEsol-relaxed geometry. Source: Alexandria, functional SCAN.

```
ZrAs2Se
1.0
3.926 0.000 0.000
0.000 3.926 0.000
-1.963 -1.963 4.828
As Se Zr
2 1 1
Direct
0.750 0.250 0.500
0.250 0.750 0.500
0.500 0.500 0.000
0.000 0.000 0.000
```

electronic total energy = -0.85267 Ha/atom
V = 74.4 Å³/cell
energy relative to the elements, uncorrected = -0.4127 eV/atom

---

No. 11
Zr2InSbPb at its PBEsol-relaxed geometry. Source: Alexandria, functional SCAN.

```
Zr2InSbPb
1.0
5.325 0.000 0.000
0.000 5.325 0.000
0.000 0.000 5.353
Pb Sb Zr In
1 1 2 1
Direct
0.500 0.500 0.500
0.000 0.000 0.000
0.000 0.500 0.000
0.500 0.000 0.000
0.000 0.000 0.500
```

electronic total energy = -1.50495 Ha/atom
V = 151.8 Å³/cell
energy relative to the elements, uncorrected = 0.6133 eV/atom

---

No. 12
AlIn2Os at its PBEsol-relaxed geometry. Source: Alexandria, functional SCAN.

```
AlIn2Os
1.0
2.917 0.022 0.000
-1.313 2.605 0.000
0.000 0.000 9.906
Os Al In
1 1 2
Direct
0.500 0.500 0.500
0.500 0.500 0.000
0.000 0.000 0.271
0.000 0.000 0.729
```

calculated formation energy = 0.5554 eV/atom
electronic total energy = -1.32466 Ha/atom
V = 75.6 Å³/cell